No. 1
TiCd2FeAu at its PBEsol-relaxed geometry, computed with SCAN.

Summary:
ΔE_f in eV/f.u.: 3.762
Calculated volume in Å³/atom: 24.85

Lattice parameters (Å, degrees): 4.936 5.017 5.017 90.00 90.00 90.00
Each line ends with the local moment (μB).
Fractional coordinates of all 5 atoms:
1 Au 0.000 0.000 0.000  -0.05
2 Fe 0.500 0.500 0.500  3.33
3 Ti 0.500 0.000 0.000  -1.41
4 Cd 0.000 0.000 0.500  0.01
5 Cd 0.000 0.500 0.000  0.01

=====

No. 2
Li2AlCd at its PBEsol-relaxed geometry, computed with SCAN.

Summary:
ΔE_f in eV/f.u.: -0.708
Calculated volume in Å³/atom: 17.14

Lattice parameters (Å, degrees): 2.848 4.857 5.180 95.87 90.84 105.74
Fractional coordinates of all 4 atoms:
1 Li 0.764 0.518 0.256
2 Li 0.988 0.986 0.997
3 Al 0.498 0.000 0.494
4 Cd 0.250 0.495 0.753

=====

No. 3
K2Te2As at its PBEsol-relaxed geometry, computed with SCAN.

Summary:
VASP energy in eV per atom: -23.07
Calculated volume in Å³/atom: 36.47

Lattice parameters (Å, degrees): 8.154 9.038 19.796 90.00 90.00 90.00
Fractional coordinates of all 40 atoms:
1 Te 0.996 0.317 0.681
2 Te 0.992 0.258 0.918
3 Te 0.492 0.758 0.582
4 Te 0.004 0.683 0.319
5 Te 0.508 0.258 0.918
6 Te 0.504 0.183 0.181
7 Te 0.008 0.758 0.582
8 Te 0.504 0.317 0.681
9 Te 0.508 0.242 0.418
10 Te 0.492 0.742 0.082
11 Te 0.004 0.817 0.819
12 Te 0.008 0.742 0.082
13 Te 0.496 0.817 0.819
14 Te 0.496 0.683 0.319
15 Te 0.996 0.183 0.181
16 Te 0.992 0.242 0.418
17 K 0.250 0.575 0.940
18 K 0.750 0.075 0.560
19 K 0.250 0.896 0.216
20 K 0.250 0.604 0.716
21 K 0.750 0.583 0.457
22 K 0.250 0.999 0.689
23 K 0.750 0.104 0.784
24 K 0.250 0.083 0.043
25 K 0.250 0.925 0.440
26 K 0.750 0.001 0.311
27 K 0.750 0.917 0.957
28 K 0.250 0.417 0.543
29 K 0.750 0.425 0.060
30 K 0.750 0.396 0.284
31 K 0.250 0.501 0.189
32 K 0.750 0.499 0.811
33 As 0.750 0.070 0.114
34 As 0.750 0.430 0.614
35 As 0.250 0.570 0.386
36 As 0.250 0.930 0.886
37 As 0.250 0.308 0.346
38 As 0.750 0.692 0.654
39 As 0.250 0.192 0.846
40 As 0.750 0.808 0.154